# TaGa3Mo, optimized geometry, DFT PBE-GGA
data_TaGa3Mo
_space_group_name_H-M_alt 'P m -3 m'
_space_group_IT_number 221
_space_group_name_Hall '-P 4 2 3'
_cell_length_a 4.728
_cell_length_b 4.728
_cell_length_c 4.728
_cell_angle_alpha 90.00
_cell_angle_beta 90.00
_cell_angle_gamma 90.00
loop_
_atom_site_label
_atom_site_fract_x
_atom_site_fract_y
_atom_site_fract_z
Ta1 0.000 0.000 0.000
Ga1 0.000 0.500 0.500
Mo1 0.500 0.500 0.500
# Magnetic moment (Bohr magnetons per cell): 0.00
# Energy (eV/atom): -5.243
# D(E_F) (states/eV/f.u.): 6.52
# Calculated density (g cm⁻³): 7.64

***

# TaGaMo, optimized geometry, DFT PBE-GGA
data_TaGaMo
_space_group_name_H-M_alt 'I 4 m m'
_space_group_IT_number 107
_space_group_name_Hall 'I 4 -2'
_cell_length_a 3.381
_cell_length_b 3.381
_cell_length_c 8.645
_cell_angle_alpha 90.00
_cell_angle_beta 90.00
_cell_angle_gamma 90.00
loop_
_atom_site_label
_atom_site_fract_x
_atom_site_fract_y
_atom_site_fract_z
Ta1 0.000 0.000 0.000
Ga1 0.000 0.000 0.326
Mo1 0.000 0.000 0.659
# Magnetic moment (Bohr magnetons per cell): 0.00
# Energy (eV/atom): -8.751
# D(E_F) (states/eV/f.u.): 1.17
# Calculated density (g cm⁻³): 11.65

***

# TaGa2Mo, optimized geometry, DFT PBE-GGA
data_TaGa2Mo
_space_group_name_H-M_alt 'F m -3 m'
_space_group_IT_number 225
_space_group_name_Hall '-F 4 2 3'
_cell_length_a 6.332
_cell_length_b 6.332
_cell_length_c 6.332
_cell_angle_alpha 90.00
_cell_angle_beta 90.00
_cell_angle_gamma 90.00
loop_
_atom_site_label
_atom_site_fract_x
_atom_site_fract_y
_atom_site_fract_z
Ta1 0.000 0.000 0.000
Ga1 0.250 0.250 0.250
Mo1 0.000 0.000 0.500
# Magnetic moment (Bohr magnetons per cell): 0.00
# Energy (eV/atom): -7.075
# D(E_F) (states/eV/f.u.): 3.39
# Calculated density (g cm⁻³): 10.89

***

# TaGaTcMo, optimized geometry, DFT PBE-GGA
data_TaGaTcMo
_space_group_name_H-M_alt 'F -4 3 m'
_space_group_IT_number 216
_space_group_name_Hall 'F -4 2 3'
_cell_length_a 6.318
_cell_length_b 6.318
_cell_length_c 6.318
_cell_angle_alpha 90.00
_cell_angle_beta 90.00
_cell_angle_gamma 90.00
loop_
_atom_site_label
_atom_site_fract_x
_atom_site_fract_y
_atom_site_fract_z
Ta1 0.000 0.000 0.000
Ga1 0.000 0.000 0.500
Tc1 0.250 0.250 0.750
Mo1 0.250 0.250 0.250
# Magnetic moment (Bohr magnetons per cell): 0.00
# Energy (eV/atom): -9.121
# D(E_F) (states/eV/f.u.): 4.39
# Calculated density (g cm⁻³): 11.71

***

# TaVGaMo, optimized geometry, DFT PBE-GGA
data_TaVGaMo
_space_group_name_H-M_alt 'F -4 3 m'
_space_group_IT_number 216
_space_group_name_Hall 'F -4 2 3'
_cell_length_a 6.309
_cell_length_b 6.309
_cell_length_c 6.309
_cell_angle_alpha 90.00
_cell_angle_beta 90.00
_cell_angle_gamma 90.00
loop_
_atom_site_label
_atom_site_fract_x
_atom_site_fract_y
_atom_site_fract_z
Ta1 0.000 0.000 0.000
V1 0.250 0.250 0.250
Ga1 0.000 0.000 0.500
Mo1 0.250 0.250 0.750
# Magnetic moment (Bohr magnetons per cell): 3.97
# Energy (eV/atom): -8.748
# D(E_F) (states/eV/f.u.): 2.67
# Calculated density (g cm⁻³): 10.52

***

# TbGa6Mo, optimized geometry, DFT PBE-GGA
data_TbGa6Mo
_space_group_name_H-M_alt 'R -3 m'
_space_group_IT_number 166
_space_group_name_Hall '-R 3 2"'
_cell_length_a 9.4784
_cell_length_b 9.4784
_cell_length_c 6.1997
_cell_angle_alpha 90.00
_cell_angle_beta 90.00
_cell_angle_gamma 120.00
loop_
_atom_site_label
_atom_site_fract_x
_atom_site_fract_y
_atom_site_fract_z
Tb1 0.0000 0.0000 0.0000
Ga1 0.0355 0.5178 0.2929
Mo1 0.0000 0.0000 0.5000
# Magnetic moment (Bohr magnetons per cell): 0.00
# Energy (eV/atom): -4.299
# D(E_F) (states/eV/f.u.): 3.30
# Calculated density (g cm⁻³): 6.95